The following is a PBE-GGA calculation of an optimized crystal structure of Zn3GaTc, from the Alexandria database.

Properties
The value obtained for the density of states at the Fermi level is 3.663 states/eV/cell. As for the energy of formation from the pure elements: 0.73 eV/atom. As for the energy relative to the lowest polymorph listed for this composition: 3.34 eV per formula unit. For the calculated total energy, the calculation gives -13.6 eV/cell. The calculation puts the total moment at 0.000 μB/f.u. The space group is No. 221.

Cell lengths 4.8568, 4.8568, 4.8568 Å; angles 90.00, 90.00, 90.00 degrees
Atoms (fractional coordinates):
Zn 0.0000 0.0000 0.5000
Zn 0.0000 0.5000 0.0000
Zn 0.5000 0.0000 0.0000
Ga 0.5000 0.5000 0.5000
Tc 0.0000 0.0000 0.0000



The following is a PBE-GGA calculation of an optimized crystal structure of Mo2AsPt, from the Alexandria database.

Properties
The value obtained for the density of states at the Fermi level is 3.652 states/eV/cell. As for the energy of formation from the pure elements: -0.06 eV/atom. For the calculated total energy, the calculation gives -32.6 eV/cell. The calculation puts the total moment at 0.000 μB/f.u. The space group is No. 44.

Cell lengths 5.2171, 5.2171, 5.2171 Å; angles 145.27, 129.15, 63.05 degrees
Atoms (fractional coordinates):
Mo 0.0000 0.0000 0.0000
Mo 0.7197 0.2197 0.5000
As 0.4932 0.4932 0.0000
Pt 0.2692 0.7692 0.5000



The following is a PBE-GGA calculation of an optimized crystal structure of LaZrPaO6, from the Alexandria database.

Properties
The value obtained for the density of states at the Fermi level is 0.000 states/eV/cell. For the uncorrected formation energy, the calculation gives -3471 meV/atom. For the calculated total energy, the calculation gives -167.9 eV/cell. The calculation puts the total moment at 0.000 μB/f.u. The space group is No. 163.

Cell lengths 5.7682, 5.7682, 9.9923 Å; angles 90.00, 90.00, 120.00 degrees
Atoms (fractional coordinates):
La 0.0000 0.0000 0.0000
La 0.0000 0.0000 0.5000
Zr 0.3333 0.6667 0.2500
Zr 0.6667 0.3333 0.7500
Pa 0.3333 0.6667 0.7500
Pa 0.6667 0.3333 0.2500
O 0.0073 0.3603 0.1396
O 0.0073 0.6470 0.3604
O 0.3530 0.3603 0.3604
O 0.3530 0.9927 0.1396
O 0.3603 0.0073 0.6396
O 0.3603 0.3530 0.8604
O 0.6397 0.6470 0.1396
O 0.6397 0.9927 0.3604
O 0.6470 0.0073 0.8604
O 0.6470 0.6397 0.6396
O 0.9927 0.3530 0.6396
O 0.9927 0.6397 0.8604



The following is a PBE-GGA calculation of an optimized crystal structure of TbAlGa6, from the Alexandria database.

Properties
The value obtained for the density of states at the Fermi level is 1.675 states/eV/cell. As for the energy of formation from the pure elements: -0.22 eV/atom. As for the energy relative to the lowest polymorph listed for this composition: 0.00 eV per formula unit. For the calculated total energy, the calculation gives -28.3 eV/cell. The calculation puts the total moment at 0.000 μB/f.u. The space group is No. 123.

Cell lengths 4.2149, 4.2149, 8.4996 Å; angles 90.00, 90.00, 90.00 degrees
Atoms (fractional coordinates):
Tb 0.0000 0.0000 0.0000
Al 0.0000 0.0000 0.5000
Ga 0.0000 0.5000 0.2667
Ga 0.0000 0.5000 0.7333
Ga 0.5000 0.0000 0.2667
Ga 0.5000 0.0000 0.7333
Ga 0.5000 0.5000 0.0000
Ga 0.5000 0.5000 0.5000



The following is a PBE-GGA calculation of an optimized crystal structure of VCr2Ru, from the Alexandria database.

Properties
The value obtained for the density of states at the Fermi level is 4.260 states/eV/cell. As for the energy of formation from the pure elements: -0.03 eV/atom. As for the energy relative to the lowest polymorph listed for this composition: 0.00 eV per formula unit. For the calculated total energy, the calculation gives -37.7 eV/cell. The calculation puts the total moment at 0.672 μB/f.u. The space group is No. 123.

Cell lengths 2.9136, 2.9136, 5.9611 Å; angles 90.00, 90.00, 90.00 degrees
Atoms (fractional coordinates):
V 0.0000 0.0000 0.0000
Cr 0.5000 0.5000 0.2365
Cr 0.5000 0.5000 0.7635
Ru 0.0000 0.0000 0.5000



The following is a PBE-GGA calculation of an optimized crystal structure of LaTi2BiCl, from the Alexandria database.

Properties
The value obtained for the density of states at the Fermi level is 4.845 states/eV/cell. For the uncorrected formation energy, the calculation gives 1204 meV/atom. For the calculated total energy, the calculation gives -20.4 eV/cell. The calculation puts the total moment at 0.000 μB/f.u. The space group is No. 123.

Cell lengths 4.9344, 4.9344, 6.3050 Å; angles 90.00, 90.00, 90.00 degrees
Atoms (fractional coordinates):
La 0.0000 0.0000 0.0000
Ti 0.0000 0.5000 0.0000
Ti 0.5000 0.0000 0.0000
Bi 0.0000 0.0000 0.5000
Cl 0.5000 0.5000 0.5000



The following is a PBE-GGA calculation of an optimized crystal structure of ZrNi3Ag, from the Alexandria database.

Properties
The value obtained for the density of states at the Fermi level is 6.274 states/eV/cell. As for the energy of formation from the pure elements: 1.05 eV/atom. As for the energy relative to the lowest polymorph listed for this composition: 0.00 eV per formula unit. For the calculated total energy, the calculation gives -23.5 eV/cell. The calculation puts the total moment at 0.000 μB/f.u. The space group is No. 221.

Cell lengths 4.5341, 4.5341, 4.5341 Å; angles 90.00, 90.00, 90.00 degrees
Atoms (fractional coordinates):
Zr 0.0000 0.0000 0.0000
Ni 0.0000 0.5000 0.5000
Ni 0.5000 0.0000 0.5000
Ni 0.5000 0.5000 0.0000
Ag 0.5000 0.5000 0.5000



The following is a PBE-GGA calculation of an optimized crystal structure of PaGeC, from the Alexandria database.

Properties
As for the energy of formation from the pure elements: -0.34 eV/atom. As for the energy relative to the lowest polymorph listed for this composition: 0.00 eV per formula unit. For the calculated total energy, the calculation gives -48.7 eV/cell. The calculation puts the total moment at 0.000 μB/f.u. The space group is No. 166.

Cell lengths 8.7478, 8.7478, 8.7478 Å; angles 26.19, 26.19, 26.19 degrees
Atoms (fractional coordinates):
Pa 0.2226 0.2226 0.2226
Pa 0.7774 0.7774 0.7774
Ge 0.3556 0.3556 0.3556
Ge 0.6444 0.6444 0.6444
C 0.1299 0.1299 0.1299
C 0.8701 0.8701 0.8701



The following is a PBE-GGA calculation of an optimized crystal structure of Ac8LaTb2, from the Alexandria database.

Properties
The value obtained for the density of states at the Fermi level is 18.941 states/eV/cell. As for the energy of formation from the pure elements: 0.12 eV/atom. For the calculated total energy, the calculation gives -45.8 eV/cell. The calculation puts the total moment at 0.000 μB/f.u. The space group is No. 71.

Cell lengths 10.1509, 10.1509, 10.1509 Å; angles 145.98, 125.85, 65.51 degrees
Atoms (fractional coordinates):
Ac 0.1472 0.3539 0.7933
Ac 0.1583 0.1583 0.0000
Ac 0.2987 0.0000 0.2987
Ac 0.4394 0.6461 0.7933
Ac 0.5606 0.3539 0.2067
Ac 0.7013 0.0000 0.7013
Ac 0.8417 0.8417 0.0000
Ac 0.8528 0.6461 0.2067
La 0.0000 0.5000 0.5000
Tb 0.2996 0.7996 0.5000
Tb 0.7004 0.2004 0.5000



The following is a PBE-GGA calculation of an optimized crystal structure of GdNpAl4, from the Alexandria database.

Properties
The value obtained for the density of states at the Fermi level is 14.586 states/eV/cell. As for the energy of formation from the pure elements: -0.25 eV/atom. For the calculated total energy, the calculation gives -43.5 eV/cell. The calculation puts the total moment at 11.788 μB/f.u. The space group is No. 216.

Cell lengths 5.5636, 5.5636, 5.5636 Å; angles 60.00, 60.00, 60.00 degrees
Atoms (fractional coordinates):
Gd 0.0000 0.0000 0.0000
Np 0.7500 0.7500 0.7500
Al 0.3753 0.3753 0.3753
Al 0.3753 0.3753 0.8741
Al 0.3753 0.8741 0.3753
Al 0.8741 0.3753 0.3753



The following is a PBE-GGA calculation of an optimized crystal structure of Pm4YCd2, from the Alexandria database.

Properties
The value obtained for the density of states at the Fermi level is 10.057 states/eV/cell. As for the energy of formation from the pure elements: 0.11 eV/atom. For the calculated total energy, the calculation gives -26.6 eV/cell. The calculation puts the total moment at 0.000 μB/f.u. The space group is No. 166.

Cell lengths 9.3477, 9.3477, 9.3477 Å; angles 34.87, 34.87, 34.87 degrees
Atoms (fractional coordinates):
Pm 0.1298 0.1298 0.1298
Pm 0.2636 0.2636 0.2636
Pm 0.7364 0.7364 0.7364
Pm 0.8702 0.8702 0.8702
Y 0.5000 0.5000 0.5000
Cd 0.3838 0.3838 0.3838
Cd 0.6162 0.6162 0.6162



The following is a PBE-GGA calculation of an optimized crystal structure of PrTeAu, from the Alexandria database.

Properties
The value obtained for the density of states at the Fermi level is 0.116 states/eV/cell. For the uncorrected formation energy, the calculation gives -954 meV/atom. For the calculated total energy, the calculation gives -14.1 eV/cell. The calculation puts the total moment at 0.000 μB/f.u. The space group is No. 156.

Cell lengths 4.6701, 4.6701, 4.6285 Å; angles 90.00, 90.00, 120.00 degrees
Atoms (fractional coordinates):
Pr 0.0000 0.0000 0.0000
Te 0.3333 0.6667 0.5699
Au 0.6667 0.3333 0.2738



The following is a PBE-GGA calculation of an optimized crystal structure of Ca2CeErS4, from the Alexandria database.

Properties
The value obtained for the density of states at the Fermi level is 7.374 states/eV/cell. For the uncorrected formation energy, the calculation gives -2022 meV/atom. For the calculated total energy, the calculation gives -47.2 eV/cell. The calculation puts the total moment at 1.359 μB/f.u. The space group is No. 10.

Cell lengths 6.8817, 3.9649, 6.9819 Å; angles 90.00, 109.08, 90.00 degrees
Atoms (fractional coordinates):
Ca 0.0000 0.0000 0.0000
Ca 0.5000 0.5000 0.0000
Ce 0.0000 0.5000 0.5000
Er 0.5000 0.0000 0.5000
S 0.2587 0.0000 0.7515
S 0.2594 0.5000 0.2550
S 0.7413 0.0000 0.2485
S 0.7406 0.5000 0.7450



The following is a PBE-GGA calculation of an optimized crystal structure of CsSr2O, from the Alexandria database.

Properties
The value obtained for the density of states at the Fermi level is 4.039 states/eV/cell. For the uncorrected formation energy, the calculation gives -1053 meV/atom. For the calculated total energy, the calculation gives -13.4 eV/cell. The calculation puts the total moment at 0.001 μB/f.u. The space group is No. 166.

Cell lengths 11.4167, 11.4167, 11.4167 Å; angles 19.77, 19.77, 19.77 degrees
Atoms (fractional coordinates):
Cs 0.0000 0.0000 0.0000
Sr 0.1224 0.1224 0.1224
Sr 0.8776 0.8776 0.8776
O 0.5000 0.5000 0.5000



The following is a PBE-GGA calculation of an optimized crystal structure of In2OsSe, from the Alexandria database.

Properties
The value obtained for the density of states at the Fermi level is 1.003 states/eV/cell. For the uncorrected formation energy, the calculation gives 561 meV/atom. For the calculated total energy, the calculation gives -17.9 eV/cell. The calculation puts the total moment at 0.000 μB/f.u. The space group is No. 71.

Cell lengths 5.3899, 5.3899, 5.3899 Å; angles 141.58, 125.24, 68.87 degrees
Atoms (fractional coordinates):
In 0.2461 0.2461 0.0000
In 0.7539 0.7539 0.0000
Os 0.0000 0.5000 0.5000
Se 0.5000 0.0000 0.5000



The following is a PBE-GGA calculation of an optimized crystal structure of Pu3Si3Ir2, from the Alexandria database.

Properties
The value obtained for the density of states at the Fermi level is 104.637 states/eV/cell. For the uncorrected formation energy, the calculation gives -637 meV/atom. For the calculated total energy, the calculation gives -328.3 eV/cell. The calculation puts the total moment at 16.067 μB/f.u. The space group is No. 62.

Cell lengths 7.8065, 14.2200, 5.6899 Å; angles 90.00, 90.00, 90.00 degrees
Atoms (fractional coordinates):
Pu 0.0252 0.1103 0.1152
Pu 0.0252 0.3897 0.1152
Pu 0.1631 0.2500 0.5929
Pu 0.3369 0.7500 0.0929
Pu 0.4748 0.6103 0.6152
Pu 0.4748 0.8897 0.6152
Pu 0.5252 0.1103 0.3848
Pu 0.5252 0.3897 0.3848
Pu 0.6631 0.2500 0.9071
Pu 0.8369 0.7500 0.4071
Pu 0.9748 0.6103 0.8848
Pu 0.9748 0.8897 0.8848
Si 0.1580 0.0416 0.5929
Si 0.1580 0.4584 0.5929
Si 0.1862 0.7500 0.5922
Si 0.3138 0.2500 0.0922
Si 0.3420 0.5416 0.0929
Si 0.3420 0.9584 0.0929
Si 0.6580 0.0416 0.9071
Si 0.6580 0.4584 0.9071
Si 0.6862 0.7500 0.9078
Si 0.8138 0.2500 0.4078
Si 0.8420 0.5416 0.4071
Si 0.8420 0.9584 0.4071
Ir 0.1357 0.6004 0.3655
Ir 0.1357 0.8996 0.3655
Ir 0.3643 0.1004 0.8655
Ir 0.3643 0.3996 0.8655
Ir 0.6357 0.6004 0.1345
Ir 0.6357 0.8996 0.1345
Ir 0.8643 0.1004 0.6345
Ir 0.8643 0.3996 0.6345



The following is a PBE-GGA calculation of an optimized crystal structure of Ag5AuCl8, from the Alexandria database.

Properties
The value obtained for the density of states at the Fermi level is 7.829 states/eV/cell. For the uncorrected formation energy, the calculation gives -345 meV/atom. As for the energy relative to the lowest polymorph listed for this composition: 0.00 eV per formula unit. For the calculated total energy, the calculation gives -37.1 eV/cell. The calculation puts the total moment at 0.001 μB/f.u. The space group is No. 82.

Cell lengths 7.9378, 7.9378, 7.9378 Å; angles 103.73, 103.73, 121.69 degrees
Atoms (fractional coordinates):
Ag 0.0000 0.0000 0.0000
Ag 0.1859 0.1136 0.4816
Ag 0.2957 0.8141 0.9277
Ag 0.6320 0.7043 0.5184
Ag 0.8864 0.3680 0.0723
Au 0.7500 0.2500 0.5000
Cl 0.0473 0.3771 0.7884
Cl 0.0745 0.9087 0.6950
Cl 0.0913 0.7862 0.1658
Cl 0.2138 0.3796 0.3050
Cl 0.5887 0.2589 0.2116
Cl 0.6204 0.9255 0.8342
Cl 0.6229 0.4113 0.6702
Cl 0.7411 0.9527 0.3298



The following is a PBE-GGA calculation of an optimized crystal structure of Ba2AgHIr, from the Alexandria database.

Properties
The value obtained for the density of states at the Fermi level is 2.413 states/eV/cell. For the calculated total energy, the calculation gives -19.8 eV/cell. The calculation puts the total moment at 0.000 μB/f.u. The space group is No. 123.

Cell lengths 5.7289, 5.7289, 3.7402 Å; angles 90.00, 90.00, 90.00 degrees
Atoms (fractional coordinates):
Ba 0.0000 0.5000 0.0000
Ba 0.5000 0.0000 0.0000
Ag 0.0000 0.0000 0.5000
H 0.5000 0.5000 0.0000
Ir 0.5000 0.5000 0.5000